Crystalline Cs2NaI6F at its relaxed geometry. Source: Alexandria via LeMat-Bulk, functional PBE-GGA.

Computed properties:
magnetization: 0.00 Bohr magnetons per cell
formation energy from raw total energies: -0.731 eV per atom

Unit cell a=8.045 b=8.045 c=8.866 alpha=63.02 beta=63.02 gamma=90.00
Element x y z (fractional)
Cs 0.250 0.750 0.500
Cs 0.750 0.250 0.500
I 0.778 0.778 0.444
I 0.724 0.276 0.000
I 0.222 0.222 0.556
I 0.276 0.276 0.000
I 0.724 0.724 0.000
I 0.276 0.724 0.000
Na 0.000 0.000 0.000
F 0.500 0.500 0.000